Here is crystalline NdHoFe at its relaxed geometry from Alexandria via LeMat-Bulk. Energies are from PBE.

Computed properties:
Fermi-level density of states ... 1.2690 states/eV/atom
Calculated density ... 7.80 g/cm3
Polymorph energy (0 for the lowest one) ... 0 meV per atom

Cell: 6.9970 6.9970 7.3623 Å, 90.00 90.00 120.38°
Positions (direct):
1 Nd 0.1978 0.8022 0.8874
2 Nd 0.3022 0.6978 0.3874
3 Nd 0.6978 0.3022 0.6126
4 Nd 0.8022 0.1978 0.1126
5 Ho 0.2088 0.2912 0.7500
6 Ho 0.2912 0.2088 0.2500
7 Ho 0.7088 0.7912 0.7500
8 Ho 0.7912 0.7088 0.2500
9 Fe 0.0899 0.9101 0.5416
10 Fe 0.4101 0.5899 0.0416
11 Fe 0.5899 0.4101 0.9584
12 Fe 0.9101 0.0899 0.4584


Here is crystalline NdHoFe at its relaxed geometry from Alexandria via LeMat-Bulk. Energies are from PBE.

Computed properties:
Fermi-level density of states ... 1.3146 states/eV/atom
Calculated density ... 7.99 g/cm3
Polymorph energy (0 for the lowest one) ... 52 meV per atom

Cell: 6.8886 6.8886 6.8886 Å, 151.17 151.17 41.22°
Positions (direct):
1 Nd 0.0000 0.0000 0.0000
2 Ho 0.7452 0.7452 0.0000
3 Fe 0.3662 0.3662 0.0000


Here is crystalline NdHoZnFe at its relaxed geometry from Alexandria via LeMat-Bulk. Energies are from PBE.

Computed properties:
Fermi-level density of states ... 1.0465 states/eV/atom
Calculated density ... 8.15 g/cm3
E ... -4.80 eV per atom

Cell: 4.9873 4.9873 4.9873 Å, 60.00 60.00 60.00°
Positions (direct):
1 Nd 0.0000 0.0000 0.0000
2 Ho 0.5000 0.5000 0.5000
3 Zn 0.2500 0.2500 0.2500
4 Fe 0.7500 0.7500 0.7500


Here is crystalline Ho2FeNi at its relaxed geometry from Alexandria via LeMat-Bulk. Energies are from PBE.

Computed properties:
Fermi-level density of states ... 0.6300 states/eV/atom
Calculated density ... 10.00 g/cm3
E ... -5.99 eV per atom

Cell: 3.3416 3.3416 6.6117 Å, 90.00 90.00 90.00°
Positions (direct):
1 Ho 0.0000 0.0000 0.2444
2 Ho 0.0000 0.0000 0.7556
3 Fe 0.5000 0.5000 0.0000
4 Ni 0.5000 0.5000 0.5000


Here is crystalline HoFeNi6 at its relaxed geometry from Alexandria via LeMat-Bulk. Energies are from PBE.

Computed properties:
Fermi-level density of states ... 1.2334 states/eV/atom
Calculated density ... 8.45 g/cm3
E ... -5.93 eV per atom

Cell: 3.7720 3.7720 7.9107 Å, 90.00 90.00 90.00°
Positions (direct):
1 Ho 0.0000 0.0000 0.0000
2 Fe 0.0000 0.0000 0.5000
3 Ni 0.0000 0.5000 0.3243
4 Ni 0.0000 0.5000 0.6757
5 Ni 0.5000 0.0000 0.3243
6 Ni 0.5000 0.0000 0.6757
7 Ni 0.5000 0.5000 0.1427
8 Ni 0.5000 0.5000 0.8573


Here is crystalline HoFe4Ni at its relaxed geometry from Alexandria via LeMat-Bulk. Energies are from PBE.

Computed properties:
Fermi-level density of states ... 1.1757 states/eV/atom
Calculated density ... 8.80 g/cm3
E ... -7.34 eV per atom

Cell: 4.9227 4.9227 4.9227 Å, 60.00 60.00 60.00°
Positions (direct):
1 Ho 0.0000 0.0000 0.0000
2 Fe 0.1265 0.6245 0.6245
3 Fe 0.6245 0.1265 0.6245
4 Fe 0.6245 0.6245 0.1265
5 Fe 0.6245 0.6245 0.6245
6 Ni 0.2500 0.2500 0.2500


Here is crystalline HoFeNi at its relaxed geometry from Alexandria via LeMat-Bulk. Energies are from PBE.

Computed properties:
Fermi-level density of states ... 0.8763 states/eV/atom
Calculated density ... 9.88 g/cm3
E ... -6.52 eV per atom

Cell: 5.1226 5.1226 5.1226 Å, 122.20 119.18 88.83°
Positions (direct):
1 Ho 0.3716 0.1216 0.2500
2 Ho 0.6284 0.8784 0.7500
3 Fe 0.0000 0.0000 0.5000
4 Fe 0.0000 0.5000 0.0000
5 Ni 0.0000 0.5000 0.5000
6 Ni 0.5000 0.5000 0.0000


Here is crystalline Ho2FeNi at its relaxed geometry from Alexandria via LeMat-Bulk. Energies are from PBE.

Computed properties:
Fermi-level density of states ... 0.8636 states/eV/atom
Calculated density ... 8.32 g/cm3
E ... -5.35 eV per atom

Cell: 9.2534 9.2534 9.2534 Å, 20.95 20.95 20.95°
Positions (direct):
1 Ho 0.0975 0.0975 0.0975
2 Ho 0.9025 0.9025 0.9025
3 Fe 0.0000 0.0000 0.0000
4 Ni 0.5000 0.5000 0.5000


Here is crystalline Ho3Fe7Ni2 at its relaxed geometry from Alexandria via LeMat-Bulk. Energies are from PBE.

Computed properties:
Fermi-level density of states ... 0.8072 states/eV/atom
Calculated density ... 9.25 g/cm3
E ... -7.19 eV per atom

Cell: 8.7453 8.7453 8.7453 Å, 33.37 33.37 33.37°
Positions (direct):
1 Ho 0.0000 0.0000 0.0000
2 Ho 0.1417 0.1417 0.1417
3 Ho 0.8583 0.8583 0.8583
4 Fe 0.0825 0.5821 0.5821
5 Fe 0.4179 0.4179 0.9175
6 Fe 0.4179 0.9175 0.4179
7 Fe 0.5000 0.5000 0.5000
8 Fe 0.5821 0.0825 0.5821
9 Fe 0.5821 0.5821 0.0825
10 Fe 0.9175 0.4179 0.4179
11 Ni 0.3327 0.3327 0.3327
12 Ni 0.6673 0.6673 0.6673


Here is crystalline Ho2Fe2Ni15 at its relaxed geometry from Alexandria via LeMat-Bulk. Energies are from PBE.

Computed properties:
Fermi-level density of states ... 1.0383 states/eV/atom
Calculated density ... 9.15 g/cm3
E ... -6.15 eV per atom

Cell: 6.2615 6.2615 6.2615 Å, 82.71 82.71 82.71°
Positions (direct):
1 Ho 0.1574 0.1574 0.1574
2 Ho 0.8426 0.8426 0.8426
3 Fe 0.4055 0.4055 0.4055
4 Fe 0.5945 0.5945 0.5945
5 Ni 0.0000 0.5000 0.5000
6 Ni 0.1558 0.1558 0.6535
7 Ni 0.1558 0.6535 0.1558
8 Ni 0.2027 0.5000 0.7973
9 Ni 0.2027 0.7973 0.5000
10 Ni 0.3465 0.8442 0.8442
11 Ni 0.5000 0.0000 0.5000
12 Ni 0.5000 0.2027 0.7973
13 Ni 0.5000 0.5000 0.0000
14 Ni 0.5000 0.7973 0.2027
15 Ni 0.6535 0.1558 0.1558
16 Ni 0.7973 0.2027 0.5000
17 Ni 0.7973 0.5000 0.2027
18 Ni 0.8442 0.3465 0.8442
19 Ni 0.8442 0.8442 0.3465


Here is crystalline HoFe2Ni5 at its relaxed geometry from Alexandria via LeMat-Bulk. Energies are from PBE.

Computed properties:
Fermi-level density of states ... 0.7056 states/eV/atom
Calculated density ... 8.61 g/cm3
E ... -6.32 eV per atom

Cell: 5.9172 5.9172 5.9172 Å, 144.09 112.05 79.32°
Positions (direct):
1 Ho 0.0000 0.0000 0.0000
2 Fe 0.2499 0.7499 0.5000
3 Fe 0.7501 0.2501 0.5000
4 Ni 0.1711 0.3586 0.8125
5 Ni 0.4538 0.6414 0.8125
6 Ni 0.5000 0.0000 0.5000
7 Ni 0.5462 0.3586 0.1875
8 Ni 0.8289 0.6414 0.1875


Here is crystalline Ho2FeNi3P4 at its relaxed geometry from Alexandria via LeMat-Bulk. Energies are from PBE.

Computed properties:
Fermi-level density of states ... 0.4851 states/eV/atom
Calculated density ... 7.99 g/cm3
E ... -6.61 eV per atom

Cell: 3.9580 3.9580 9.0912 Å, 90.00 90.00 90.00°
Positions (direct):
1 Ho 0.0000 0.5000 0.2448
2 Ho 0.5000 0.0000 0.7552
3 Fe 0.0000 0.0000 0.5000
4 Ni 0.0000 0.5000 0.8807
5 Ni 0.5000 0.0000 0.1193
6 Ni 0.5000 0.5000 0.5000
7 P 0.0000 0.0000 0.0000
8 P 0.0000 0.5000 0.6308
9 P 0.5000 0.0000 0.3692
10 P 0.5000 0.5000 0.0000


Here is crystalline PmHoFeNi at its relaxed geometry from Alexandria via LeMat-Bulk. Energies are from PBE.

Computed properties:
Fermi-level density of states ... 1.0119 states/eV/atom
Calculated density ... 9.00 g/cm3
E ... -5.91 eV per atom

Cell: 4.8020 4.8020 4.8020 Å, 60.00 60.00 60.00°
Positions (direct):
1 Pm 0.0000 0.0000 0.0000
2 Ho 0.5000 0.5000 0.5000
3 Fe 0.2500 0.2500 0.2500
4 Ni 0.7500 0.7500 0.7500


Here is crystalline HoPuFeNi at its relaxed geometry from Alexandria via LeMat-Bulk. Energies are from PBE.

Computed properties:
Fermi-level density of states ... 2.3442 states/eV/atom
Calculated density ... 11.67 g/cm3
E ... -8.31 eV per atom

Cell: 4.7230 4.7230 4.7230 Å, 60.00 60.00 60.00°
Positions (direct):
1 Ho 0.0000 0.0000 0.0000
2 Pu 0.5000 0.5000 0.5000
3 Fe 0.7500 0.7500 0.7500
4 Ni 0.2500 0.2500 0.2500


Here is crystalline HoScFeNi at its relaxed geometry from Alexandria via LeMat-Bulk. Energies are from PBE.

Computed properties:
Fermi-level density of states ... 0.5051 states/eV/atom
Calculated density ... 7.96 g/cm3
E ... -6.46 eV per atom

Cell: 4.5745 4.5745 4.5745 Å, 60.00 60.00 60.00°
Positions (direct):
1 Ho 0.0000 0.0000 0.0000
2 Sc 0.5000 0.5000 0.5000
3 Fe 0.2500 0.2500 0.2500
4 Ni 0.7500 0.7500 0.7500


Here is crystalline Ho3FeSi6Ni2 at its relaxed geometry from Alexandria via LeMat-Bulk. Energies are from PBE.

Computed properties:
Fermi-level density of states ... 0.6230 states/eV/atom
Calculated density ... 6.70 g/cm3
E ... -5.85 eV per atom

Cell: 5.6623 5.6623 7.4699 Å, 90.00 90.00 120.00°
Positions (direct):
1 Ho 0.0000 0.0000 0.0000
2 Ho 0.3333 0.6667 0.6490
3 Ho 0.6667 0.3333 0.3510
4 Fe 0.0000 0.0000 0.5000
5 Si 0.1902 0.3805 0.3043
6 Si 0.1902 0.8098 0.3043
7 Si 0.3805 0.1902 0.6957
8 Si 0.6195 0.8098 0.3043
9 Si 0.8098 0.1902 0.6957
10 Si 0.8098 0.6195 0.6957
11 Ni 0.3333 0.6667 0.0557
12 Ni 0.6667 0.3333 0.9443


Here is crystalline TbHoFeNi at its relaxed geometry from Alexandria via LeMat-Bulk. Energies are from PBE.

Computed properties:
Fermi-level density of states ... 0.8827 states/eV/atom
Calculated density ... 9.70 g/cm3
E ... -5.95 eV per atom

Cell: 4.7347 4.7347 4.7347 Å, 60.00 60.00 60.00°
Positions (direct):
1 Tb 0.0000 0.0000 0.0000
2 Ho 0.5000 0.5000 0.5000
3 Fe 0.2500 0.2500 0.2500
4 Ni 0.7500 0.7500 0.7500


Here is crystalline Ho3Np2Fe4 at its relaxed geometry from Alexandria via LeMat-Bulk. Energies are from PBE.

Computed properties:
Fermi-level density of states ... 1.5434 states/eV/atom
Calculated density ... 11.36 g/cm3
E ... -8.25 eV per atom

Cell: 5.7234 5.7234 8.3540 Å, 102.05 102.05 40.78°
Positions (direct):
1 Ho 0.0000 0.0000 0.0000
2 Ho 0.3753 0.3753 0.6198
3 Ho 0.6247 0.6247 0.3802
4 Np 0.3271 0.3271 0.2203
5 Np 0.6729 0.6729 0.7797
6 Fe 0.0896 0.0896 0.6414
7 Fe 0.2674 0.2674 0.9104
8 Fe 0.7326 0.7326 0.0896
9 Fe 0.9104 0.9104 0.3586


Here is crystalline HoNpFe2 at its relaxed geometry from Alexandria via LeMat-Bulk. Energies are from PBE.

Computed properties:
Fermi-level density of states ... 1.2203 states/eV/atom
Calculated density ... 11.78 g/cm3
E ... -8.57 eV per atom

Cell: 7.6549 4.4183 8.5645 Å, 90.00 90.00 90.00°
Positions (direct):
1 Ho 0.0905 0.2500 0.1408
2 Ho 0.4095 0.7500 0.6408
3 Ho 0.5905 0.2500 0.3592
4 Ho 0.9095 0.7500 0.8592
5 Np 0.0192 0.7500 0.4196
6 Np 0.4808 0.2500 0.9196
7 Np 0.5192 0.7500 0.0804
8 Np 0.9808 0.2500 0.5804
9 Fe 0.2283 0.2500 0.8067
10 Fe 0.2391 0.2500 0.4720
11 Fe 0.2609 0.7500 0.9720
12 Fe 0.2717 0.7500 0.3067
13 Fe 0.7283 0.2500 0.6933
14 Fe 0.7391 0.2500 0.0280
15 Fe 0.7609 0.7500 0.5280
16 Fe 0.7717 0.7500 0.1933